(1)
A geometry-optimized AgW3 structure, computed with PBE.

a = 5.3897 Å, b = 5.3897 Å, c = 5.3897 Å
α = 117.31°, β = 117.31°, γ = 117.31°
Sites, in units of the cell vectors:
1 Ag 0.0000 0.0000 0.0000
2 W 0.0000 0.5000 0.5000
3 W 0.5000 0.0000 0.5000
4 W 0.5000 0.5000 0.0000



(2)
A geometry-optimized Ag2W structure, computed with PBE.

a = 7.1255 Å, b = 7.1255 Å, c = 3.3272 Å
α = 90.00°, β = 90.00°, γ = 141.35°
Sites, in units of the cell vectors:
1 Ag 0.5846 0.4154 0.7500
2 Ag 0.4154 0.5846 0.2500
3 Ag 0.2480 0.7520 0.7500
4 Ag 0.7520 0.2480 0.2500
5 W 0.9321 0.0679 0.7500
6 W 0.0679 0.9321 0.2500



(3)
A geometry-optimized AgW3 structure, computed with PBE.

a = 2.6675 Å, b = 4.7295 Å, c = 5.2212 Å
α = 90.00°, β = 90.00°, γ = 90.00°
Sites, in units of the cell vectors:
1 Ag 0.0000 0.0000 0.0139
2 W 0.0000 0.5000 0.3162
3 W 0.5000 0.0000 0.5223
4 W 0.5000 0.5000 0.8143



Values for total DFT energy (no corrections), eV per cell, ordered as above
-39.81, -34.03, -39.47
Values for formation enthalpy at 0 K, eV per formula unit, ordered as above
1.9, 1.6, 2.2